1.
# PBE TcBi2O2, relaxed
# energy relative to the elements, uncorrected: -217 meV per atom
# DFT total energy: -58.26 eV/cell
# energy above the most stable polymorph in this dataset: 21.6 meV per atom
data_TcBi2O2
_chemical_formula_sum 'Tc2 Bi4 O4'
_cell_length_a 5.062
_cell_length_b 5.062
_cell_length_c 7.282
_cell_angle_alpha 90.00
_cell_angle_beta 90.00
_cell_angle_gamma 90.00
_symmetry_space_group_name_H-M 'I 4/m m m'
_symmetry_Int_Tables_number 139
_symmetry_space_group_name_Hall '-I 4 2'
loop_
_atom_site_label
_atom_site_type_symbol
_atom_site_fract_x
_atom_site_fract_y
_atom_site_fract_z
Tc1 Tc 0.000 0.000 0.000
Bi1 Bi 0.000 0.500 0.250
O1 O 0.000 0.000 0.279

2.
# PBE TcBiO3, relaxed
# energy relative to the elements, uncorrected: 56 meV per atom
# DFT total energy: -28.84 eV/cell
data_TcBiO3
_chemical_formula_sum 'Tc1 Bi1 O3'
_cell_length_a 4.269
_cell_length_b 4.269
_cell_length_c 4.269
_cell_angle_alpha 90.00
_cell_angle_beta 90.00
_cell_angle_gamma 90.00
_symmetry_space_group_name_H-M 'P m -3 m'
_symmetry_Int_Tables_number 221
_symmetry_space_group_name_Hall '-P 4 2 3'
loop_
_atom_site_label
_atom_site_type_symbol
_atom_site_fract_x
_atom_site_fract_y
_atom_site_fract_z
Tc1 Tc 0.000 0.000 0.000
Bi1 Bi 0.500 0.500 0.500
O1 O 0.000 0.500 0.500

3.
# PBE TcBiO2, relaxed
# energy relative to the elements, uncorrected: -698 meV per atom
# DFT total energy: -80.86 eV/cell
data_TcBiO2
_chemical_formula_sum 'Tc3 Bi3 O6'
_cell_length_a 3.1986
_cell_length_b 3.1986
_cell_length_c 20.8755
_cell_angle_alpha 90.00
_cell_angle_beta 90.00
_cell_angle_gamma 120.00
_symmetry_space_group_name_H-M 'R -3 m'
_symmetry_Int_Tables_number 166
_symmetry_space_group_name_Hall '-R 3 2"'
loop_
_atom_site_label
_atom_site_type_symbol
_atom_site_fract_x
_atom_site_fract_y
_atom_site_fract_z
Tc1 Tc 0.0000 0.0000 0.0000
Bi1 Bi 0.0000 0.0000 0.5000
O1 O 0.0000 0.0000 0.3827

4.
# PBE Tc2Bi2O, relaxed
# energy relative to the elements, uncorrected: 264 meV per atom
# DFT total energy: -64.26 eV/cell
# energy above the most stable polymorph in this dataset: 0.0 meV per atom
data_Tc2Bi2O
_chemical_formula_sum 'Tc4 Bi4 O2'
_cell_length_a 5.687
_cell_length_b 5.687
_cell_length_c 6.319
_cell_angle_alpha 90.00
_cell_angle_beta 90.00
_cell_angle_gamma 90.00
_symmetry_space_group_name_H-M 'I 4/m m m'
_symmetry_Int_Tables_number 139
_symmetry_space_group_name_Hall '-I 4 2'
loop_
_atom_site_label
_atom_site_type_symbol
_atom_site_fract_x
_atom_site_fract_y
_atom_site_fract_z
Tc1 Tc 0.000 0.000 0.180
Bi1 Bi 0.000 0.500 0.250
O1 O 0.000 0.000 0.500

5.
# PBE TcBiO4, relaxed
# energy relative to the elements, uncorrected: -1374 meV per atom
# DFT total energy: -169.29 eV/cell
# energy above the most stable polymorph in this dataset: 0.0 meV per atom
data_TcBiO4
_chemical_formula_sum 'Tc4 Bi4 O16'
_cell_length_a 3.843
_cell_length_b 15.244
_cell_length_c 5.635
_cell_angle_alpha 90.00
_cell_angle_beta 90.00
_cell_angle_gamma 90.00
_symmetry_space_group_name_H-M 'C m c m'
_symmetry_Int_Tables_number 63
_symmetry_space_group_name_Hall '-C 2c 2'
loop_
_atom_site_label
_atom_site_type_symbol
_atom_site_fract_x
_atom_site_fract_y
_atom_site_fract_z
Tc1 Tc 0.000 0.081 0.250
Bi1 Bi 0.000 0.308 0.250
O1 O 0.000 0.000 0.000
O2 O 0.000 0.186 0.017
O3 O 0.000 0.414 0.750

6.
# PBE TcBiO3, relaxed
# energy relative to the elements, uncorrected: -874 meV per atom
# DFT total energy: -33.49 eV/cell
data_TcBiO3
_chemical_formula_sum 'Tc1 Bi1 O3'
_cell_length_a 3.980
_cell_length_b 3.980
_cell_length_c 3.980
_cell_angle_alpha 90.00
_cell_angle_beta 90.00
_cell_angle_gamma 90.00
_symmetry_space_group_name_H-M 'P m -3 m'
_symmetry_Int_Tables_number 221
_symmetry_space_group_name_Hall '-P 4 2 3'
loop_
_atom_site_label
_atom_site_type_symbol
_atom_site_fract_x
_atom_site_fract_y
_atom_site_fract_z
Tc1 Tc 0.000 0.000 0.000
Bi1 Bi 0.500 0.500 0.500
O1 O 0.000 0.000 0.500

7.
# PBE TcBiO, relaxed
# energy relative to the elements, uncorrected: -269 meV per atom
# DFT total energy: -320.20 eV/cell
data_TcBiO
_chemical_formula_sum 'Tc16 Bi16 O16'
_cell_length_a 3.745
_cell_length_b 13.081
_cell_length_c 18.868
_cell_angle_alpha 90.00
_cell_angle_beta 90.00
_cell_angle_gamma 90.00
_symmetry_space_group_name_H-M 'F d d d'
_symmetry_Int_Tables_number 70
loop_
_symmetry_equiv_pos_as_xyz
'x,y,z'
'-x,-y,-z'
'-x+1/4,-y+1/4,z'
'x+1/4,y+1/4,-z'
'x,-y+1/4,-z+1/4'
'-x,y+1/4,z+1/4'
'-x+1/4,y,-z+1/4'
'x+1/4,-y,z+1/4'
'x,y+1/2,z+1/2'
'-x,-y+1/2,-z+1/2'
'-x+1/4,-y+3/4,z+1/2'
'x+1/4,y+3/4,-z+1/2'
'x,-y+3/4,-z+3/4'
'-x,y+3/4,z+3/4'
'-x+1/4,y+1/2,-z+3/4'
'x+1/4,-y+1/2,z+3/4'
'x+1/2,y,z+1/2'
'-x+1/2,-y,-z+1/2'
'-x+3/4,-y+1/4,z+1/2'
'x+3/4,y+1/4,-z+1/2'
'x+1/2,-y+1/4,-z+3/4'
'-x+1/2,y+1/4,z+3/4'
'-x+3/4,y,-z+3/4'
'x+3/4,-y,z+3/4'
'x+1/2,y+1/2,z'
'-x+1/2,-y+1/2,-z'
'-x+3/4,-y+3/4,z'
'x+3/4,y+3/4,-z'
'x+1/2,-y+3/4,-z+1/4'
'-x+1/2,y+3/4,z+1/4'
'-x+3/4,y+1/2,-z+1/4'
'x+3/4,-y+1/2,z+1/4'
loop_
_atom_site_label
_atom_site_type_symbol
_atom_site_fract_x
_atom_site_fract_y
_atom_site_fract_z
Tc1 Tc 0.125 0.125 0.001
Bi1 Bi 0.125 0.251 0.125
O1 O 0.125 0.125 0.502

8.
# PBE TcBi2O6, relaxed
# energy relative to the elements, uncorrected: -1230 meV per atom
# DFT total energy: -117.90 eV/cell
# energy above the most stable polymorph in this dataset: 24.9 meV per atom
data_TcBi2O6
_chemical_formula_sum 'Tc2 Bi4 O12'
_cell_length_a 5.102
_cell_length_b 5.102
_cell_length_c 10.225
_cell_angle_alpha 90.00
_cell_angle_beta 90.00
_cell_angle_gamma 90.00
_symmetry_space_group_name_H-M 'P 42/m n m'
_symmetry_Int_Tables_number 136
_symmetry_space_group_name_Hall '-P 4n 2n'
loop_
_atom_site_label
_atom_site_type_symbol
_atom_site_fract_x
_atom_site_fract_y
_atom_site_fract_z
Tc1 Tc 0.000 0.000 0.000
Bi1 Bi 0.000 0.000 0.330
O1 O 0.181 0.181 0.146
O2 O 0.238 0.238 0.500

9.
# PBE TcBiO2, relaxed
# energy relative to the elements, uncorrected: -470 meV per atom
# DFT total energy: -104.18 eV/cell
data_TcBiO2
_chemical_formula_sum 'Tc4 Bi4 O8'
_cell_length_a 6.067
_cell_length_b 6.067
_cell_length_c 8.598
_cell_angle_alpha 90.00
_cell_angle_beta 90.00
_cell_angle_gamma 90.00
_symmetry_space_group_name_H-M 'I -4 2 d'
_symmetry_Int_Tables_number 122
_symmetry_space_group_name_Hall 'I -4 2bw'
loop_
_atom_site_label
_atom_site_type_symbol
_atom_site_fract_x
_atom_site_fract_y
_atom_site_fract_z
Tc1 Tc 0.000 0.000 0.000
Bi1 Bi 0.000 0.000 0.500
O1 O 0.010 0.250 0.125

10.
# PBE Tc2BiO, relaxed
# energy relative to the elements, uncorrected: 273 meV per atom
# DFT total energy: -113.92 eV/cell
# energy above the most stable polymorph in this dataset: 0.0 meV per atom
data_Tc2BiO
_chemical_formula_sum 'Tc8 Bi4 O4'
_cell_length_a 5.527
_cell_length_b 5.527
_cell_length_c 9.766
_cell_angle_alpha 90.00
_cell_angle_beta 90.00
_cell_angle_gamma 90.00
_symmetry_space_group_name_H-M 'I -4 2 d'
_symmetry_Int_Tables_number 122
_symmetry_space_group_name_Hall 'I -4 2bw'
loop_
_atom_site_label
_atom_site_type_symbol
_atom_site_fract_x
_atom_site_fract_y
_atom_site_fract_z
Tc1 Tc 0.117 0.250 0.125
Bi1 Bi 0.000 0.000 0.500
O1 O 0.000 0.000 0.000

11.
# PBE Tc2BiO6, relaxed
# energy relative to the elements, uncorrected: -1279 meV per atom
# DFT total energy: -65.87 eV/cell
data_Tc2BiO6
_chemical_formula_sum 'Tc2 Bi1 O6'
_cell_length_a 5.3041
_cell_length_b 5.3041
_cell_length_c 4.9405
_cell_angle_alpha 90.00
_cell_angle_beta 90.00
_cell_angle_gamma 120.00
_symmetry_space_group_name_H-M 'P -3 1 m'
_symmetry_Int_Tables_number 162
_symmetry_space_group_name_Hall '-P 3 2'
loop_
_atom_site_label
_atom_site_type_symbol
_atom_site_fract_x
_atom_site_fract_y
_atom_site_fract_z
Tc1 Tc 0.3333 0.6667 0.0000
Bi1 Bi 0.0000 0.0000 0.5000
O1 O 0.0000 0.3669 0.2205

12.
# PBE TcBiO4, relaxed
# energy relative to the elements, uncorrected: -1240 meV per atom
# DFT total energy: -83.04 eV/cell
# energy above the most stable polymorph in this dataset: 133.9 meV per atom
data_TcBiO4
_chemical_formula_sum 'Tc2 Bi2 O8'
_cell_length_a 5.875
_cell_length_b 5.046
_cell_length_c 5.727
_cell_angle_alpha 90.00
_cell_angle_beta 107.88
_cell_angle_gamma 90.00
_symmetry_space_group_name_H-M 'P 1 21/c 1'
_symmetry_Int_Tables_number 14
loop_
_symmetry_equiv_pos_as_xyz
'x,y,z'
'-x,-y,-z'
'-x,y+1/2,-z+1/2'
'x,-y+1/2,z+1/2'
loop_
_atom_site_label
_atom_site_type_symbol
_atom_site_fract_x
_atom_site_fract_y
_atom_site_fract_z
Tc1 Tc 0.000 0.000 0.000
Bi1 Bi 0.500 0.000 0.500
O1 O 0.108 0.212 0.313
O2 O 0.324 0.634 0.602

Q: Which value of DFT total energy does entry 1 give?
A: -58.26 eV/cell

Please write out number 9 again, unchanged.
# PBE TcBiO2, relaxed
# energy relative to the elements, uncorrected: -470 meV per atom
# DFT total energy: -104.18 eV/cell
data_TcBiO2
_chemical_formula_sum 'Tc4 Bi4 O8'
_cell_length_a 6.067
_cell_length_b 6.067
_cell_length_c 8.598
_cell_angle_alpha 90.00
_cell_angle_beta 90.00
_cell_angle_gamma 90.00
_symmetry_space_group_name_H-M 'I -4 2 d'
_symmetry_Int_Tables_number 122
_symmetry_space_group_name_Hall 'I -4 2bw'
loop_
_atom_site_label
_atom_site_type_symbol
_atom_site_fract_x
_atom_site_fract_y
_atom_site_fract_z
Tc1 Tc 0.000 0.000 0.000
Bi1 Bi 0.000 0.000 0.500
O1 O 0.010 0.250 0.125

Q: The lowest DFT total energy belongs to which entry?
A: TcBiO